# CsFe3Pb | Alexandria via LeMat-Bulk | meta-GGA SCAN | single point on PBEsol structure
# Theoretical density   7668 kg/m3
# D(E_F)   0.9141 states/eV/atom
# Magnetization   7.9 μB/cell
# DFT total energy   -31.14 eV/atom
data_CsFe3Pb
_symmetry_space_group_name_H-M 'P m -3 m'
_symmetry_Int_Tables_number 221
_symmetry_space_group_name_Hall '-P 4 2 3'
_cell_length_a 4.790
_cell_length_b 4.790
_cell_length_c 4.790
_cell_angle_alpha 90.00
_cell_angle_beta 90.00
_cell_angle_gamma 90.00
loop_
_atom_site_label
_atom_site_fract_x
_atom_site_fract_y
_atom_site_fract_z
Cs1 0.000 0.000 0.000
Fe1 0.000 0.000 0.500
Pb1 0.500 0.500 0.500